VASP calculation (PBE-GGA) on a relaxed structure of LiNpCdSn.

Energy of formation from the pure elements = 0.02 eV/atom
SG = No. 216
Density of states at the Fermi level = 2.170 states/eV per atom

```
LiNpCdSn
1.0
5.139 0.000 0.000
2.569 4.450 0.000
2.569 1.483 4.196
Np Li Sn Cd
1 1 1 1
Direct
0.500 0.500 0.500
0.000 0.000 0.000
0.250 0.250 0.250
0.750 0.750 0.750
```